(1)
The following is a DFT calculation (PBE-GGA) of a geometry-optimized LiLaSc structure.

- Excess energy over the best structure of this formula in the dataset: 46 meV/atom
- Total magnetization: 0.5 μB per cell
- Formation enthalpy at 0 K: 0.5 eV per formula unit
- Symmetry: P3m1 (156)

a b c (Å): 3.436 3.436 8.198
angles (deg): 90.00 90.00 120.00
Fractional coordinates of all 3 atoms:
Li 0.000 0.000 0.000
La 0.333 0.667 0.645
Sc 0.667 0.333 0.310

(2)
The following is a DFT calculation (PBE-GGA) of a geometry-optimized Li3LaSc structure.

- Excess energy over the best structure of this formula in the dataset: 0 meV/atom
- Total magnetization: 1.9 μB per cell
- Formation enthalpy at 0 K: 3.3 eV per formula unit
- Symmetry: Pm-3m (221)

a b c (Å): 5.193 5.193 5.193
angles (deg): 90.00 90.00 90.00
Fractional coordinates of all 5 atoms:
Li 0.000 0.000 0.500
Li 0.000 0.500 0.000
Li 0.500 0.000 0.000
La 0.500 0.500 0.500
Sc 0.000 0.000 0.000

(3)
The following is a DFT calculation (PBE-GGA) of a geometry-optimized LiLaSc structure.

- Excess energy over the best structure of this formula in the dataset: 0 meV/atom
- Total magnetization: 0.0 μB per cell
- Formation enthalpy at 0 K: 0.3 eV per formula unit
- Symmetry: P2_1/m (11)

a b c (Å): 5.447 3.500 8.773
angles (deg): 90.00 107.76 90.00
Fractional coordinates of all 6 atoms:
Li 0.070 0.250 0.130
Li 0.930 0.750 0.870
La 0.401 0.250 0.811
La 0.599 0.750 0.189
Sc 0.228 0.750 0.454
Sc 0.772 0.250 0.546

(4)
The following is a DFT calculation (PBE-GGA) of a geometry-optimized Li2La2Sc structure.

- Excess energy over the best structure of this formula in the dataset: 17 meV/atom
- Total magnetization: 0.0 μB per cell
- Formation enthalpy at 0 K: 1.0 eV per formula unit
- Symmetry: P4/mbm (127)

a b c (Å): 8.617 8.617 3.766
angles (deg): 90.00 90.00 90.00
Fractional coordinates of all 10 atoms:
Li 0.103 0.397 0.000
Li 0.397 0.897 0.000
Li 0.603 0.103 0.000
Li 0.897 0.603 0.000
La 0.203 0.703 0.500
La 0.297 0.203 0.500
La 0.703 0.797 0.500
La 0.797 0.297 0.500
Sc 0.000 0.000 0.000
Sc 0.500 0.500 0.000